Here is a geometry-optimized AcTb6Pr2Y3 structure from the Alexandria database. Energies are from GGA-PBE.

Cell lengths 6.293, 10.896, 11.988 Å; angles 90.00, 100.04, 90.00 degrees
Space group C2/m (No. 12)
One atom of each set of equivalent atoms:
Ac (0.000, 0.000, 0.000)
Tb (0.246, 0.332, 0.744)
Tb (0.249, 0.000, 0.744)
Pr (0.000, 0.333, 0.000)
Y (0.000, 0.167, 0.500)
Y (0.000, 0.500, 0.500)

Computed properties:
Total DFT energy (no corrections) in eV per atom: -5.04
Size of the total moment in μB per formula unit: 0.0
Formation energy in meV per atom: 30
V in Å³/cell: 809.43

=====

Here is a geometry-optimized Pm4RhSCl2 structure from the Alexandria database. Energies are from GGA-PBE.

Cell lengths 7.289, 3.954, 7.382 Å; angles 90.00, 107.71, 90.00 degrees
Space group P2/m (No. 10)
One atom of each set of equivalent atoms:
Pm (0.227, 0.000, 0.216)
Pm (0.264, 0.500, 0.781)
Rh (0.000, 0.500, 0.000)
S (0.500, 0.000, 0.000)
Cl (0.000, 0.000, 0.500)
Cl (0.500, 0.500, 0.500)

Computed properties:
Raw formation energy in eV/atom: -1.403
Total DFT energy (no corrections) in eV per atom: -5.67
Size of the total moment in μB per formula unit: 0.0
V in Å³/cell: 202.67

=====

Here is a geometry-optimized TbYGe structure from the Alexandria database. Energies are from GGA-PBE.

Cell lengths 3.461, 3.461, 13.270 Å; angles 90.00, 90.00, 90.00 degrees
Space group I4mm (No. 107)
One atom of each set of equivalent atoms:
Tb (0.000, 0.000, 0.000)
Y (0.000, 0.000, 0.281)
Ge (0.000, 0.000, 0.640)

Computed properties:
Total DFT energy (no corrections) in eV per atom: -5.69
Size of the total moment in μB per formula unit: 0.0
Formation energy in meV per atom: -449
V in Å³/cell: 158.95

=====

Please write out number 2 again, unchanged.
Here is a geometry-optimized Pm4RhSCl2 structure from the Alexandria database. Energies are from GGA-PBE.

Cell lengths 7.289, 3.954, 7.382 Å; angles 90.00, 107.71, 90.00 degrees
Space group P2/m (No. 10)
One atom of each set of equivalent atoms:
Pm (0.227, 0.000, 0.216)
Pm (0.264, 0.500, 0.781)
Rh (0.000, 0.500, 0.000)
S (0.500, 0.000, 0.000)
Cl (0.000, 0.000, 0.500)
Cl (0.500, 0.500, 0.500)

Computed properties:
Raw formation energy in eV/atom: -1.403
Total DFT energy (no corrections) in eV per atom: -5.67
Size of the total moment in μB per formula unit: 0.0
V in Å³/cell: 202.67

=====

Among the records above, which one has the lowest total DFT energy (no corrections)?
TbYGe